Material: MnCrCu
Method: DFT, GGA-PBE
State: optimized geometry

Cell lengths 2.9709, 3.0578, 8.2570 Å; angles 90.00, 90.00, 90.00 degrees
Space group Imm2 (No. 44)
Inequivalent atoms, fractional coordinates:
Mn 0.0000 0.0000 0.0000 [2 per cell]
Cr 0.0000 0.0000 0.6458 [2 per cell]
Cu 0.0000 0.0000 0.3239 [2 per cell]

Results
As for the density of states at the Fermi level: 4.88 states/eV/cell. As for the energy: -7.49 eV per atom. The value obtained for the total magnetic moment is 0.21 μB per formula unit.